Below is Sr2PaSi3O12 after structural relaxation, with properties calculated at the PBE level.

```
Sr2PaSi3O12
1.0
6.4780 -0.1427 -0.1012
3.0751 5.7034 -0.1012
3.0751 1.7900 5.4162
O Si Sr Pa
12 3 2 1
direct
0.1298 0.1298 0.5817 O
0.7230 0.7230 0.1048 O
0.8702 0.8702 0.4183 O
0.8952 0.2770 0.2770 O
0.7230 0.1048 0.7230 O
0.2770 0.2770 0.8952 O
0.1048 0.7230 0.7230 O
0.5817 0.1298 0.1298 O
0.2770 0.8952 0.2770 O
0.4183 0.8702 0.8702 O
0.8702 0.4183 0.8702 O
0.1298 0.5817 0.1298 O
0.5000 0.0000 0.0000 Si
0.0000 0.0000 0.5000 Si
0.0000 0.5000 0.0000 Si
0.3913 0.3913 0.3913 Sr
0.6087 0.6087 0.6087 Sr
0.0000 0.0000 0.0000 Pa
```

Results
As for the space group: No. 166. As for the total energy: -7.458 eV per atom.